i.
Ca2CeHg: optimized geometry, PBE.

Lattice parameters (Å, degrees): 3.640 3.640 9.776 90.00 90.00 90.00
Atoms (fractional coordinates):
1 Ca 0.000 0.000 0.796
2 Ca 0.000 0.000 0.204
3 Ce 0.500 0.500 0.500
4 Hg 0.500 0.500 0.000

crystal system	tetragonal

---

ii.
Ca2CeHg: optimized geometry, PBE.

Lattice parameters (Å, degrees): 3.608 3.608 12.037 81.38 81.38 60.00
Atoms (fractional coordinates):
1 Ce 0.000 0.000 0.000
2 Hg 0.500 0.500 0.500
3 Ca 0.901 0.901 0.296
4 Ca 0.099 0.099 0.704

crystal system	trigonal

---

The most stable structure shown above is i; the least stable is ii.